Record 1
Density functional theory data (PBE-GGA) for a relaxed Ta5AlOs6 crystal.

abc: 4.3685 6.6757 13.0207
angles: 90.00 90.00 90.00
Closest atoms and distances in Å follow each position.
Space group Immm (No. 71)
Inequivalent atoms, fractional coordinates:
Ta1 0.0000 0.0000 0.0000 (multiplicity 2)  8 Os 2.79-2.83, 4 Ta 2.98
Ta2 0.0000 0.0000 0.3291 (multiplicity 4)  8 Os 2.70-2.75
Ta3 0.0000 0.5000 0.3442 (multiplicity 4)  8 Os 2.71-2.80, 2 Ta 2.98
Al1 0.0000 0.5000 0.0000 (multiplicity 2)  8 Os 2.67-2.69
Os1 0.0000 0.2297 0.5000 (multiplicity 4)  2 Al 2.67, 6 Ta 2.70-2.83
Os2 0.0000 0.2624 0.1667 (multiplicity 8)  1 Al 2.69, 7 Ta 2.70-2.80

Final energy (eV/atom): -11.222
DOS at the Fermi energy (states/eV per atom): 0.65
ΔH_f (0 K) (eV per formula unit): -4.28

Record 2
Density functional theory data (PBE-GGA) for a relaxed Ta2AlOs crystal.

abc: 4.0199 4.0199 4.0446
angles: 90.00 90.00 90.00
Closest atoms and distances in Å follow each position.
Space group P4/mmm (No. 123)
Inequivalent atoms, fractional coordinates:
Ta1 0.0000 0.5000 0.0000 (multiplicity 2)  4 Ta 2.84, 4 Os 2.85, 4 Al 2.85
Al1 0.0000 0.0000 0.5000 (multiplicity 1)  4 Os 2.84, 8 Ta 2.85
Os1 0.5000 0.5000 0.5000 (multiplicity 1)  4 Al 2.84, 8 Ta 2.85

Offset from the most stable computed form (meV per atom): 63
Final energy (eV/atom): -9.883
DOS at the Fermi energy (states/eV per atom): 0.51
ΔH_f (0 K) (eV per formula unit): -0.85

Record 3
Density functional theory data (PBE-GGA) for a relaxed Ta2AlOs2 crystal.

abc: 7.6909 7.6909 2.9693
angles: 90.00 90.00 90.00
Closest atoms and distances in Å follow each position.
Space group P4/mbm (No. 127)
Inequivalent atoms, fractional coordinates:
Ta1 0.1501 0.3499 0.0000 (multiplicity 4)  6 Os 2.69-2.70, 2 Al 2.93, 2 Ta 2.97
Al1 0.0000 0.0000 0.0000 (multiplicity 2)  4 Ta 2.93, 2 Al 2.97
Os1 0.1421 0.6421 0.5000 (multiplicity 4)  6 Ta 2.69-2.70, 2 Os 2.97

Offset from the most stable computed form (meV per atom): 214
Final energy (eV/atom): -9.881
DOS at the Fermi energy (states/eV per atom): 0.84
ΔH_f (0 K) (eV per formula unit): 0.50

Record 4
Density functional theory data (PBE-GGA) for a relaxed Ta2AlOs crystal.

abc: 7.5186 7.5186 5.3251
angles: 90.00 90.00 90.00
Closest atoms and distances in Å follow each position.
Space group I-42d (No. 122)
Inequivalent atoms, fractional coordinates:
Ta1 0.2052 0.2500 0.1250 (multiplicity 8)  2 Os 2.52, 2 Ta 2.75
Al1 0.0000 0.0000 0.5000 (multiplicity 4)  2 Os 2.66, 4 Ta 2.98
Os1 0.0000 0.0000 0.0000 (multiplicity 4)  4 Ta 2.52, 2 Al 2.66

Offset from the most stable computed form (meV per atom): 691
Final energy (eV/atom): -9.255
DOS at the Fermi energy (states/eV per atom): 1.12
ΔH_f (0 K) (eV per formula unit): 1.66

Record 5
Density functional theory data (PBE-GGA) for a relaxed TaAl2Os2 crystal.

abc: 7.1445 7.1445 3.0292
angles: 90.00 90.00 90.00
Closest atoms and distances in Å follow each position.
Space group P4/mbm (No. 127)
Inequivalent atoms, fractional coordinates:
Ta1 0.0000 0.0000 0.0000 (multiplicity 2)  4 Os 2.73, 2 Ta 3.03
Al1 0.1486 0.3514 0.5000 (multiplicity 4)  6 Os 2.55-2.61
Os1 0.1483 0.6483 0.0000 (multiplicity 4)  6 Al 2.55-2.61, 2 Ta 2.73

Offset from the most stable computed form (meV per atom): 119
Final energy (eV/atom): -8.528
DOS at the Fermi energy (states/eV per atom): 0.44
ΔH_f (0 K) (eV per formula unit): -0.84

Record 6
Density functional theory data (PBE-GGA) for a relaxed Ta2AlOs crystal.

abc: 6.4021 6.4021 6.4021
angles: 90.00 90.00 90.00
Closest atoms and distances in Å follow each position.
Space group Fm-3m (No. 225)
Inequivalent atoms, fractional coordinates:
Ta1 0.2500 0.2500 0.2500 (multiplicity 8)  4 Os 2.77, 4 Al 2.77
Al1 0.0000 0.0000 0.0000 (multiplicity 4)  8 Ta 2.77
Os1 0.0000 0.0000 0.5000 (multiplicity 4)  8 Ta 2.77

Offset from the most stable computed form (meV per atom): 236
Final energy (eV/atom): -9.710
DOS at the Fermi energy (states/eV per atom): 1.19
ΔH_f (0 K) (eV per formula unit): -0.16

Record 7
Density functional theory data (PBE-GGA) for a relaxed Ta2AlOs crystal.

abc: 3.8428 3.8428 8.8824
angles: 90.00 90.00 90.00
Closest atoms and distances in Å follow each position.
Space group I-4m2 (No. 119)
Inequivalent atoms, fractional coordinates:
Ta1 0.0000 0.0000 0.0000 (multiplicity 2)  4 Os 2.72, 4 Ta 2.94, 4 Al 2.94
Ta2 0.0000 0.5000 0.2500 (multiplicity 2)  4 Al 2.72, 4 Ta 2.94, 4 Os 2.94
Al1 0.0000 0.5000 0.7500 (multiplicity 2)  8 Ta 2.72-2.94, 4 Os 2.94
Os1 0.0000 0.0000 0.5000 (multiplicity 2)  8 Ta 2.72-2.94, 4 Al 2.94

Offset from the most stable computed form (meV per atom): 113
Final energy (eV/atom): -9.833
DOS at the Fermi energy (states/eV per atom): 0.76
ΔH_f (0 K) (eV per formula unit): -0.66

Record 8
Density functional theory data (PBE-GGA) for a relaxed Ta2AlOs crystal.

abc: 3.2729 4.6526 8.6660
angles: 90.00 90.00 90.00
Closest atoms and distances in Å follow each position.
Space group Cmm2 (No. 35)
Inequivalent atoms, fractional coordinates:
Ta1 0.0000 0.0000 0.0000 (multiplicity 2)  2 Os 2.67, 6 Ta 2.84
Ta2 0.0000 0.5000 0.2672 (multiplicity 2)  2 Al 2.78, 6 Ta 2.84
Al1 0.0000 0.0000 0.5264 (multiplicity 2)  2 Os 2.58, 2 Ta 2.78, 4 Al 2.84
Os1 0.0000 0.5000 0.7560 (multiplicity 2)  2 Al 2.58, 2 Ta 2.67, 4 Os 2.84

Offset from the most stable computed form (meV per atom): 188
Final energy (eV/atom): -9.758
DOS at the Fermi energy (states/eV per atom): 0.76
ΔH_f (0 K) (eV per formula unit): -0.36

Record 9
Density functional theory data (PBE-GGA) for a relaxed Ta2AlOs crystal.

abc: 3.0388 3.6849 5.8788
angles: 90.00 90.00 90.00
Closest atoms and distances in Å follow each position.
Space group Pmm2 (No. 25)
Inequivalent atoms, fractional coordinates:
Ta1 0.0000 0.0000 0.0000 (multiplicity 1)  2 Al 2.78-3.10, 4 Os 2.84, 6 Ta 2.89-3.04
Ta2 0.5000 0.5000 0.2759 (multiplicity 1)  1 Os 2.72, 4 Al 2.81, 6 Ta 2.89-3.04
Al1 0.0000 0.0000 0.5272 (multiplicity 1)  4 Os 2.69, 5 Ta 2.78-2.81
Os1 0.5000 0.5000 0.7393 (multiplicity 1)  4 Al 2.69, 5 Ta 2.72-2.84

Offset from the most stable computed form (meV per atom): 103
Final energy (eV/atom): -9.843
DOS at the Fermi energy (states/eV per atom): 0.74
ΔH_f (0 K) (eV per formula unit): -0.69

Record 10
Density functional theory data (PBE-GGA) for a relaxed Ta2AlOs crystal.

abc: 2.8935 2.8935 27.5377
angles: 90.00 90.00 120.00
Closest atoms and distances in Å follow each position.
Space group R3m (No. 160, hexagonal axes)
Inequivalent atoms, fractional coordinates:
Ta1 0.0000 0.0000 0.0000 (multiplicity 3)  3 Os 2.77, 9 Ta 2.89-3.04
Ta2 0.0000 0.0000 0.2410 (multiplicity 3)  9 Ta 2.89-3.04, 3 Al 2.90
Al1 0.0000 0.0000 0.4884 (multiplicity 3)  3 Os 2.66, 6 Al 2.89, 3 Ta 2.90
Os1 0.0000 0.0000 0.7467 (multiplicity 3)  3 Al 2.66, 3 Ta 2.77, 6 Os 2.89

Offset from the most stable computed form (meV per atom): 300
Final energy (eV/atom): -9.646
DOS at the Fermi energy (states/eV per atom): 1.28
ΔH_f (0 K) (eV per formula unit): 0.09

Record 11
Density functional theory data (PBE-GGA) for a relaxed Ta2AlOs2 crystal.

abc: 3.9996 3.9996 12.2149
angles: 90.00 90.00 90.00
Closest atoms and distances in Å follow each position.
Space group I4/mmm (No. 139)
Inequivalent atoms, fractional coordinates:
Ta1 0.0000 0.0000 0.1186 (multiplicity 4)  4 Os 2.56
Al1 0.0000 0.0000 0.5000 (multiplicity 2)  8 Ta 3.18
Os1 0.0000 0.5000 0.2500 (multiplicity 4)  4 Ta 2.56, 4 Os 2.83

Offset from the most stable computed form (meV per atom): 519
Final energy (eV/atom): -9.576
DOS at the Fermi energy (states/eV per atom): 0.81
ΔH_f (0 K) (eV per formula unit): 2.03

Record 12
Density functional theory data (PBE-GGA) for a relaxed Ta3AlOs crystal.

abc: 4.8391 4.8391 4.8391
angles: 90.00 90.00 90.00
Closest atoms and distances in Å follow each position.
Space group Pm-3m (No. 221)
Inequivalent atoms, fractional coordinates:
Ta1 0.0000 0.0000 0.5000 (multiplicity 3)  2 Os 2.42
Al1 0.5000 0.5000 0.5000 (multiplicity 1)  12 Ta 3.42
Os1 0.0000 0.0000 0.0000 (multiplicity 1)  6 Ta 2.42

Offset from the most stable computed form (meV per atom): 0
Final energy (eV/atom): -9.016
DOS at the Fermi energy (states/eV per atom): 0.89
ΔH_f (0 K) (eV per formula unit): 5.45